No. 1
First-principles (PBE-GGA) data for a geometry-optimized PmTm2Ag2 structure, as listed in Alexandria via LeMat-Bulk.

Values from the calculation:
The value obtained for the density of states at the Fermi level is 1.1522 states/eV per atom. The value obtained for the energy above the most stable polymorph in this dataset is 0.53 eV/f.u. The calculation puts the total energy at -4.00 eV/atom. The calculated density comes out at 8.41 Mg/m³. The formation enthalpy at 0 K is -0.1253 eV per atom.

Lattice parameters (Å, degrees): 5.2117 4.8630 10.9168 90.00 94.36 90.00
With the nearest neighbours (Å) after each atom.
Space group P2_1/m (No. 11)
One atom of each set of equivalent atoms:
1 Pm 0.1983 0.2500 0.2442 (multiplicity 2)  1 Ag 3.16
2 Tm 0.2506 0.7500 0.4950 (multiplicity 2)  4 Ag 2.86-2.96
3 Tm 0.3420 0.2500 0.8884 (multiplicity 2)  5 Ag 2.78-2.97
4 Ag 0.1474 0.7500 0.0068 (multiplicity 2)  4 Tm 2.82-2.97, 2 Ag 2.87
5 Ag 0.2712 0.2500 0.6333 (multiplicity 2)  5 Tm 2.78-2.96

---

No. 2
First-principles (PBE-GGA) data for a geometry-optimized Er11Ga9Co4 structure, as listed in Alexandria via LeMat-Bulk.

Values from the calculation:
The value obtained for the density of states at the Fermi level is 0.5078 states/eV per atom. The calculation puts the total energy at -4.94 eV/atom. The calculated density comes out at 9.16 Mg/m³. The formation enthalpy at 0 K is -0.5317 eV per atom.

Lattice parameters (Å, degrees): 13.6146 20.3701 3.5353 90.00 90.00 90.00
With the nearest neighbours (Å) after each atom.
Space group Cmmm (No. 65)
One atom of each set of equivalent atoms:
1 Er 0.0000 0.0000 0.0000 (multiplicity 2)  8 Ga 3.05, 2 Er 3.42
2 Er 0.0000 0.1679 0.0000 (multiplicity 4)  8 Ga 3.05-3.36, 2 Er 3.33
3 Er 0.0000 0.3751 0.0000 (multiplicity 4)  4 Co 2.79, 6 Ga 3.10-3.13
4 Er 0.1893 0.5000 0.0000 (multiplicity 4)  4 Co 2.76
5 Er 0.2443 0.1698 0.0000 (multiplicity 8)  2 Co 2.64
6 Ga 0.0000 0.5000 0.5000 (multiplicity 2)  4 Co 2.95, 8 Er 3.10-3.13
7 Ga 0.1028 0.2689 0.5000 (multiplicity 8)  1 Co 2.74, 1 Ga 2.80, 4 Er 3.00-3.05
8 Ga 0.1504 0.0697 0.5000 (multiplicity 8)  1 Co 2.73, 1 Ga 2.84, 4 Er 2.99-3.05
9 Co 0.1548 0.3986 0.5000 (multiplicity 8)  6 Er 2.64-2.79, 3 Ga 2.73-2.95